This record from the Alexandria database describes a geometry-optimized Hg3PbAu3 structure. The functional is PBE.

Computed properties:
The value obtained for the total magnetic moment is 0.0 μB per cell. The relative energy among the computed polymorphs is 0.401 eV/atom. The value obtained for the energy relative to the elements is 0.43 eV/atom. Its density is 10267 kg/m3.

a b c (Å): 7.6791 7.6791 7.6791
angles (deg): 90.00 90.00 90.00
With the nearest neighbours (Å) after each atom.
Fractional coordinates of all 14 atoms:
Pb  0.5000  0.5000  0.5000  12 Hg 4.29, 12 Au 4.29
Pb  0.0000  0.0000  0.0000  12 Hg 4.29, 12 Au 4.29
Au  0.2500  0.0000  0.5000  4 Hg 2.71
Au  0.0000  0.5000  0.2500  4 Hg 2.71
Au  0.5000  0.7500  0.0000  4 Hg 2.71
Au  0.7500  0.0000  0.5000  4 Hg 2.71
Au  0.0000  0.5000  0.7500  4 Hg 2.71
Au  0.5000  0.2500  0.0000  4 Hg 2.71
Hg  0.0000  0.2500  0.5000  4 Au 2.71
Hg  0.0000  0.7500  0.5000  4 Au 2.71
Hg  0.5000  0.0000  0.7500  4 Au 2.71
Hg  0.7500  0.5000  0.0000  4 Au 2.71
Hg  0.5000  0.0000  0.2500  4 Au 2.71
Hg  0.2500  0.5000  0.0000  4 Au 2.71

This record from the Alexandria database describes a geometry-optimized Hg3Pb2Au2 structure. The functional is PBE.

Computed properties:
The value obtained for the total magnetic moment is 0.0 μB per cell. The relative energy among the computed polymorphs is 0.000 eV/atom. The value obtained for the energy relative to the elements is -0.04 eV/atom. Its density is 12592 kg/m3.

a b c (Å): 3.9577 4.5977 10.4748
angles (deg): 102.68 90.00 90.00
With the nearest neighbours (Å) after each atom.
Fractional coordinates of all 7 atoms:
Hg  0.5000  0.5704  0.1408  1 Au 2.80, 1 Hg 2.88
Hg  0.5000  0.4296  0.8592  1 Au 2.80, 1 Hg 2.88
Hg  0.0000  0.0000  0.0000  8 Hg 3.36, 2 Pb 3.51
Pb  0.0000  0.8285  0.6569  6 Au 3.12-3.17
Pb  0.0000  0.1715  0.3431  6 Au 3.12-3.17
Au  0.5000  0.7076  0.4152  1 Hg 2.80, 2 Au 2.88, 4 Pb 3.12
Au  0.5000  0.2924  0.5848  1 Hg 2.80, 2 Au 2.88, 4 Pb 3.12

This record from the Alexandria database describes a geometry-optimized Hg2Pb2Au structure. The functional is PBE.

Computed properties:
The value obtained for the total magnetic moment is 0.0 μB per cell. The relative energy among the computed polymorphs is 0.357 eV/atom. The value obtained for the energy relative to the elements is 0.33 eV/atom. Its density is 11337 kg/m3.

a b c (Å): 4.3299 4.3299 8.4828
angles (deg): 75.21 75.21 90.00
With the nearest neighbours (Å) after each atom.
Fractional coordinates of all 5 atoms:
Pb  0.7500  0.2500  0.5000  4 Pb 3.06, 4 Hg 3.35
Pb  0.2500  0.7500  0.5000  4 Pb 3.06, 4 Hg 3.35
Au  0.0000  0.0000  0.0000  8 Hg 3.36
Hg  0.4118  0.4118  0.1764  1 Hg 2.79
Hg  0.5882  0.5882  0.8236  1 Hg 2.79

This record from the Alexandria database describes a geometry-optimized HgPb2Au3 structure. The functional is PBE.

Computed properties:
The value obtained for the total magnetic moment is 0.0 μB per cell. The relative energy among the computed polymorphs is 0.071 eV/atom. The value obtained for the energy relative to the elements is 0.02 eV/atom. Its density is 13880 kg/m3.

a b c (Å): 6.0577 6.0577 9.0168
angles (deg): 103.24 103.24 108.56
With the nearest neighbours (Å) after each atom.
Fractional coordinates of all 12 atoms:
Hg  0.6680  0.6680  0.3360  3 Au 2.83
Hg  0.3320  0.3320  0.6640  3 Au 2.83
Pb  0.2500  0.7500  0.5000  8 Au 3.27-3.37, 4 Hg 3.32, 2 Pb 3.54
Pb  0.7548  0.7548  0.0000  10 Au 3.19-3.35, 2 Hg 3.32, 1 Pb 3.47
Pb  0.7500  0.2500  0.5000  8 Au 3.27-3.37, 4 Hg 3.32, 2 Pb 3.54
Pb  0.2452  0.2452  0.0000  10 Au 3.19-3.35, 2 Hg 3.32, 1 Pb 3.47
Au  0.3340  0.8338  0.1677  2 Au 2.78, 1 Hg 2.83
Au  0.1662  0.6660  0.8323  2 Au 2.78, 1 Hg 2.83
Au  0.6660  0.1662  0.8323  2 Au 2.78, 1 Hg 2.83
Au  0.8338  0.3340  0.1677  2 Au 2.78, 1 Hg 2.83
Au  0.1613  0.1613  0.3227  2 Au 2.78, 1 Hg 2.83
Au  0.8387  0.8387  0.6773  2 Au 2.78, 1 Hg 2.83

This record from the Alexandria database describes a geometry-optimized HgPb2Au2 structure. The functional is PBE.

Computed properties:
The value obtained for the total magnetic moment is 0.0 μB per cell. The relative energy among the computed polymorphs is 0.060 eV/atom. The value obtained for the energy relative to the elements is 0.03 eV/atom. Its density is 12851 kg/m3.

a b c (Å): 3.9454 3.9454 8.8276
angles (deg): 77.09 77.09 90.00
With the nearest neighbours (Å) after each atom.
Fractional coordinates of all 5 atoms:
Pb  0.3915  0.3915  0.2170  4 Au 3.08, 4 Hg 3.33
Pb  0.6085  0.6085  0.7830  4 Au 3.08, 4 Hg 3.33
Au  0.7500  0.2500  0.5000  4 Au 2.79, 4 Pb 3.08
Au  0.2500  0.7500  0.5000  4 Au 2.79, 4 Pb 3.08
Hg  0.0000  0.0000  0.0000  8 Pb 3.33

This record from the Alexandria database describes a geometry-optimized Hg2PbAu structure. The functional is PBE.

Computed properties:
The value obtained for the total magnetic moment is 0.0 μB per cell. The value obtained for the energy relative to the elements is 0.06 eV/atom. Its density is 13370 kg/m3.

a b c (Å): 6.0439 6.0439 6.0439
angles (deg): 137.39 137.39 61.84
With the nearest neighbours (Å) after each atom.
Fractional coordinates of all 4 atoms:
Pb  0.2500  0.7500  0.5000  4 Au 3.11, 8 Hg 3.40
Au  0.7500  0.2500  0.5000  4 Pb 3.11, 8 Hg 3.40
Hg  0.0000  0.0000  0.0000  4 Hg 3.11, 4 Au 3.40, 4 Pb 3.40
Hg  0.5000  0.5000  0.0000  4 Hg 3.11, 4 Pb 3.40, 4 Au 3.40

This record from the Alexandria database describes a geometry-optimized Hg3Pb2Au2 structure. The functional is PBE.

Computed properties:
The value obtained for the total magnetic moment is 0.0 μB per cell. The relative energy among the computed polymorphs is 0.018 eV/atom. The value obtained for the energy relative to the elements is -0.02 eV/atom. Its density is 13125 kg/m3.

a b c (Å): 4.3193 6.0830 7.2773
angles (deg): 93.32 90.00 110.80
With the nearest neighbours (Å) after each atom.
Fractional coordinates of all 7 atoms:
Hg  0.3175  0.6350  0.1212  2 Au 2.95, 4 Hg 3.13-3.16
Hg  0.0000  0.0000  0.0000  2 Au 3.04, 4 Hg 3.16
Hg  0.6825  0.3650  0.8788  2 Au 2.95, 4 Hg 3.13-3.16
Pb  0.6323  0.2646  0.3491  3 Au 2.98-3.01
Pb  0.3677  0.7354  0.6509  3 Au 2.98-3.01
Au  0.1025  0.2050  0.6244  1 Au 2.86, 3 Hg 2.95-3.04, 3 Pb 2.98-3.01
Au  0.8975  0.7950  0.3756  1 Au 2.86, 3 Hg 2.95-3.04, 3 Pb 2.98-3.01

This record from the Alexandria database describes a geometry-optimized Hg6Pb12Au structure. The functional is PBE.

Computed properties:
The value obtained for the total magnetic moment is 0.0 μB per cell. The value obtained for the energy relative to the elements is 0.02 eV/atom. Its density is 10832 kg/m3.

a b c (Å): 8.8099 8.8099 8.8099
angles (deg): 105.15 105.15 105.15
With the nearest neighbours (Å) after each atom.
Fractional coordinates of all 19 atoms:
Hg  0.2404  0.4605  0.6976  4 Pb 3.24-3.62, 2 Hg 3.28
Hg  0.5395  0.3024  0.7596  4 Pb 3.24-3.62, 2 Hg 3.28
Hg  0.3024  0.7596  0.5395  4 Pb 3.24-3.62, 2 Hg 3.28
Hg  0.7596  0.5395  0.3024  4 Pb 3.24-3.62, 2 Hg 3.28
Hg  0.4605  0.6976  0.2404  4 Pb 3.24-3.62, 2 Hg 3.28
Hg  0.6976  0.2404  0.4605  4 Pb 3.24-3.62, 2 Hg 3.28
Pb  0.2855  0.0878  0.3540  1 Au 3.21, 2 Hg 3.30-3.38, 5 Pb 3.35-3.42
Pb  0.0878  0.3540  0.2855  1 Au 3.21, 2 Hg 3.30-3.38, 5 Pb 3.35-3.42
Pb  0.3540  0.2855  0.0878  1 Au 3.21, 2 Hg 3.30-3.38, 5 Pb 3.35-3.42
Pb  0.7145  0.9122  0.6460  1 Au 3.21, 2 Hg 3.30-3.38, 5 Pb 3.35-3.42
Pb  0.9122  0.6460  0.7145  1 Au 3.21, 2 Hg 3.30-3.38, 5 Pb 3.35-3.42
Pb  0.6460  0.7145  0.9122  1 Au 3.21, 2 Hg 3.30-3.38, 5 Pb 3.35-3.42
Pb  0.1301  0.0161  0.6926  1 Au 3.23, 1 Hg 3.24, 6 Pb 3.36-3.46
Pb  0.3074  0.8699  0.9839  1 Au 3.23, 1 Hg 3.24, 6 Pb 3.36-3.46
Pb  0.9839  0.3074  0.8699  1 Au 3.23, 1 Hg 3.24, 6 Pb 3.36-3.46
Pb  0.8699  0.9839  0.3074  1 Au 3.23, 1 Hg 3.24, 6 Pb 3.36-3.46
Pb  0.6926  0.1301  0.0161  1 Au 3.23, 1 Hg 3.24, 6 Pb 3.36-3.46
Pb  0.0161  0.6926  0.1301  1 Au 3.23, 1 Hg 3.24, 6 Pb 3.36-3.46
Au  0.0000  0.0000  0.0000  12 Pb 3.21-3.23

This record from the Alexandria database describes a geometry-optimized HgPb6Au structure. The functional is PBE.

Computed properties:
The value obtained for the total magnetic moment is 0.0 μB per cell. The relative energy among the computed polymorphs is 0.060 eV/atom. The value obtained for the energy relative to the elements is 0.06 eV/atom. Its density is 11425 kg/m3.

a b c (Å): 7.0500 7.2641 6.7387
angles (deg): 57.39 72.05 55.12
With the nearest neighbours (Å) after each atom.
Fractional coordinates of all 8 atoms:
Hg  0.0000  0.0000  0.0000  6 Pb 3.26-3.52, 2 Au 3.31
Pb  0.7413  0.7262  0.5248  1 Au 3.16, 5 Pb 3.28-3.46, 1 Hg 3.52
Pb  0.7413  0.2510  0.4752  1 Au 3.16, 5 Pb 3.28-3.46, 1 Hg 3.52
Pb  0.2587  0.7490  0.5248  1 Au 3.16, 5 Pb 3.28-3.46, 1 Hg 3.52
Pb  0.2587  0.2738  0.4752  1 Au 3.16, 5 Pb 3.28-3.46, 1 Hg 3.52
Pb  0.7404  0.7459  0.0000  1 Au 3.09, 1 Hg 3.26, 4 Pb 3.28-3.35
Pb  0.2596  0.2541  0.0000  1 Au 3.09, 1 Hg 3.26, 4 Pb 3.28-3.35
Au  0.5000  0.5000  0.0000  6 Pb 3.09-3.16, 2 Hg 3.31

This record from the Alexandria database describes a geometry-optimized HgPb2Au2 structure. The functional is PBE.

Computed properties:
The value obtained for the total magnetic moment is 0.0 μB per cell. The relative energy among the computed polymorphs is 0.057 eV/atom. The value obtained for the energy relative to the elements is 0.03 eV/atom. Its density is 12832 kg/m3.

a b c (Å): 8.5962 8.5962 3.5337
angles (deg): 90.00 90.00 90.00
With the nearest neighbours (Å) after each atom.
Fractional coordinates of all 10 atoms:
Pb  0.3235  0.8235  0.0000  6 Au 3.02-3.15, 2 Hg 3.17
Pb  0.8235  0.6765  0.0000  6 Au 3.02-3.15, 2 Hg 3.17
Pb  0.6765  0.1765  0.0000  6 Au 3.02-3.15, 2 Hg 3.17
Pb  0.1765  0.3235  0.0000  6 Au 3.02-3.15, 2 Hg 3.17
Au  0.1215  0.6215  0.5000  1 Au 2.96, 6 Pb 3.02-3.15
Au  0.6215  0.8785  0.5000  1 Au 2.96, 6 Pb 3.02-3.15
Au  0.8785  0.3785  0.5000  1 Au 2.96, 6 Pb 3.02-3.15
Au  0.3785  0.1215  0.5000  1 Au 2.96, 6 Pb 3.02-3.15
Hg  0.0000  0.0000  0.0000  4 Pb 3.17, 2 Hg 3.53
Hg  0.5000  0.5000  0.0000  4 Pb 3.17, 2 Hg 3.53

This record from the Alexandria database describes a geometry-optimized Hg3PbAu structure. The functional is PBE.

Computed properties:
The value obtained for the total magnetic moment is 0.0 μB per cell. The relative energy among the computed polymorphs is 0.209 eV/atom. The value obtained for the energy relative to the elements is 0.22 eV/atom. Its density is 11032 kg/m3.

a b c (Å): 5.3299 5.3299 5.3299
angles (deg): 90.00 90.00 90.00
With the nearest neighbours (Å) after each atom.
Fractional coordinates of all 5 atoms:
Pb  0.5000  0.5000  0.5000  12 Hg 3.77
Au  0.0000  0.0000  0.0000  6 Hg 2.66
Hg  0.0000  0.5000  0.0000  2 Au 2.66
Hg  0.0000  0.0000  0.5000  2 Au 2.66
Hg  0.5000  0.0000  0.0000  2 Au 2.66

This record from the Alexandria database describes a geometry-optimized HgPb4Au3 structure. The functional is PBE.

Computed properties:
The value obtained for the total magnetic moment is 0.0 μB per cell. The value obtained for the energy relative to the elements is -0.05 eV/atom. Its density is 12998 kg/m3.

a b c (Å): 4.0277 4.4460 11.5595
angles (deg): 90.00 90.00 90.00
With the nearest neighbours (Å) after each atom.
Fractional coordinates of all 8 atoms:
Pb  0.5000  0.5000  0.3627  6 Au 3.07-3.27, 1 Hg 3.29
Pb  0.0000  0.5000  0.8435  5 Au 2.98-3.08
Pb  0.0000  0.0000  0.1620  1 Au 2.98, 4 Hg 3.15
Pb  0.5000  0.0000  0.6430  7 Au 3.03-3.28
Au  0.0000  0.5000  0.5855  2 Au 2.94, 7 Pb 2.98-3.27
Au  0.0000  0.0000  0.4196  2 Au 2.94, 7 Pb 2.98-3.28
Au  0.5000  0.0000  0.9055  2 Hg 2.99, 5 Pb 3.03-3.08
Hg  0.5000  0.5000  0.0782  2 Au 2.99, 5 Pb 3.15-3.29